Entry 1:
Material: HgGe2OF
Method: DFT, meta-GGA SCAN
State: single point on PBEsol structure

density of states at the Fermi level: 2.509 states/eV/f.u.
energy relative to the elements, uncorrected: 0.4696 eV/atom

Geometry as POSCAR:
```
HgGe2OF
1.0
5.136 0.000 0.000
0.000 5.136 0.000
0.000 0.000 4.138
Hg Ge O F
1 2 1 1
Direct
0.000 0.000 0.000
0.000 0.500 0.000
0.500 0.000 0.000
0.000 0.000 0.500
0.500 0.500 0.500
```


Entry 2:
Material: Sr2HgGeF
Method: DFT, meta-GGA SCAN
State: single point on PBEsol structure

density of states at the Fermi level: 1.117 states/eV/f.u.
energy relative to the elements, uncorrected: -1.3045 eV/atom

Geometry as POSCAR:
```
Sr2HgGeF
1.0
4.963 0.000 0.000
0.000 4.963 0.000
0.000 0.000 5.015
Sr Hg Ge F
2 1 1 1
Direct
0.000 0.500 0.000
0.500 0.000 0.000
0.000 0.000 0.500
0.500 0.500 0.500
0.000 0.000 0.000
```


Entry 3:
Material: GeIN2F
Method: DFT, meta-GGA SCAN
State: single point on PBEsol structure

density of states at the Fermi level: 1.182 states/eV/f.u.
energy relative to the elements, uncorrected: 1.2604 eV/atom

Geometry as POSCAR:
```
GeIN2F
1.0
4.161 0.000 0.000
0.000 4.161 0.000
0.000 0.000 4.294
Ge I N F
1 1 2 1
Direct
0.000 0.000 0.000
0.500 0.500 0.500
0.000 0.500 0.500
0.500 0.000 0.500
0.500 0.500 0.000
```


Entry 4:
Material: ScGeIF2
Method: DFT, meta-GGA SCAN
State: single point on PBEsol structure

density of states at the Fermi level: 0.762 states/eV/f.u.
energy relative to the elements, uncorrected: -2.2144 eV/atom

Geometry as POSCAR:
```
ScGeIF2
1.0
4.087 0.000 0.000
0.000 4.087 0.000
0.000 0.000 5.857
Sc Ge I F
1 1 1 2
Direct
0.000 0.000 0.000
0.000 0.000 0.500
0.500 0.500 0.500
0.000 0.500 0.000
0.500 0.000 0.000
```


Entry 5:
Material: InGeNF2
Method: DFT, meta-GGA SCAN
State: single point on PBEsol structure

density of states at the Fermi level: 0.592 states/eV/f.u.
energy relative to the elements, uncorrected: -0.8515 eV/atom

Geometry as POSCAR:
```
InGeNF2
1.0
4.395 0.000 0.000
0.000 4.395 0.000
0.000 0.000 3.466
In Ge N F
1 1 1 2
Direct
0.000 0.000 0.000
0.500 0.500 0.500
0.500 0.500 0.000
0.000 0.500 0.500
0.500 0.000 0.500
```


Entry 6:
Material: InGeO2F
Method: DFT, meta-GGA SCAN
State: single point on PBEsol structure

density of states at the Fermi level: 2.134 states/eV/f.u.
energy relative to the elements, uncorrected: -1.2973 eV/atom

Geometry as POSCAR:
```
InGeO2F
1.0
3.809 0.000 0.000
0.000 3.809 0.000
0.000 0.000 4.221
In Ge O F
1 1 2 1
Direct
0.000 0.000 0.000
0.500 0.500 0.500
0.000 0.500 0.500
0.500 0.000 0.500
0.500 0.500 0.000
```